This record from Alexandria describes an optimized crystal structure of Ce4Sn2Pb. The functional is PBE-GGA.

Results
Total DFT energy (no corrections) = -5.56 eV/atom
Symmetry = I-42d

a b c (Å): 8.261 8.261 8.261
angles (deg): 109.66 109.66 109.10
Fractional coordinates of all 14 atoms:
Ce1 0.119 0.521 0.749
Ce2 0.120 0.023 0.751
Ce3 0.271 0.369 0.249
Ce4 0.479 0.227 0.597
Ce5 0.630 0.881 0.403
Ce6 0.631 0.880 0.903
Ce7 0.773 0.370 0.251
Ce8 0.977 0.729 0.097
Sn1 0.002 0.125 0.377
Sn2 0.375 0.998 0.123
Sn3 0.748 0.625 0.623
Sn4 0.875 0.252 0.877
Pb1 0.250 0.750 0.500
Pb2 0.500 0.500 0.000